A plane-wave DFT calculation with PBE was carried out for a geometry-optimized YMoN3 structure.

```
10
Lattice="3.427 0.000 0.000 -0.145 6.144 0.000 -1.127 -2.006 6.010" Properties=species:S:1:pos:R:3 pbc="T T T"
Y 0.000 0.000 0.000
Y -0.044 3.430 2.101
Mo 0.574 0.898 5.335
Mo 1.664 0.583 2.742
N -0.070 1.387 3.319
N 0.498 4.157 4.335
N 1.644 1.773 1.037
N 1.074 -0.722 4.276
N 1.695 5.121 1.664
N 2.211 1.781 5.722
```

Properties
M_tot = 0.00 μB/f.u.



A plane-wave DFT calculation with PBE was carried out for a geometry-optimized Ti3AlNi12 structure.

```
16
Lattice="3.596 0.000 0.000 0.000 3.596 0.000 0.000 0.000 14.394" Properties=species:S:1:pos:R:3 pbc="T T T"
Ti 0.000 0.000 0.000
Ti 0.000 0.000 3.654
Ti 0.000 0.000 10.740
Al 0.000 0.000 7.197
Ni 0.000 1.798 1.804
Ni 0.000 1.798 5.418
Ni 0.000 1.798 8.976
Ni 0.000 1.798 12.590
Ni 1.798 0.000 1.804
Ni 1.798 0.000 5.418
Ni 1.798 0.000 8.976
Ni 1.798 0.000 12.590
Ni 1.798 1.798 0.000
Ni 1.798 1.798 3.608
Ni 1.798 1.798 7.197
Ni 1.798 1.798 10.785
```

Properties
polymorph energy (0 for the lowest one) = 0.0 meV per atom
M_tot = 0.00 μB/f.u.
ΔH_f (0 K) = -0.479 eV per atom



A plane-wave DFT calculation with PBE was carried out for a geometry-optimized LiLuPuGa structure.

```
4
Lattice="0.000 3.559 3.559 3.559 0.000 3.559 3.559 3.559 0.000" Properties=species:S:1:pos:R:3 pbc="T T T"
Li 0.000 0.000 0.000
Lu 1.779 1.779 1.779
Pu 5.338 5.338 5.338
Ga 3.559 3.559 3.559
```

Properties
M_tot = 6.04 μB/f.u.
ΔH_f (0 K) = -0.111 eV per atom



A plane-wave DFT calculation with PBE was carried out for a geometry-optimized CsReBi2Br structure.

```
5
Lattice="6.133 0.000 0.000 0.000 6.133 0.000 0.000 0.000 4.821" Properties=species:S:1:pos:R:3 pbc="T T T"
Cs 0.000 0.000 0.000
Re 3.067 3.067 0.000
Bi 0.000 3.067 2.410
Bi 3.067 0.000 2.410
Br 3.067 3.067 2.410
```

Properties
M_tot = 2.47 μB/f.u.



A plane-wave DFT calculation with PBE was carried out for a geometry-optimized Ca2AgPt2 structure.

```
10
Lattice="7.358 0.000 0.000 0.000 7.358 0.000 0.000 0.000 4.076" Properties=species:S:1:pos:R:3 pbc="T T T"
Ca 1.259 2.420 0.000
Ca 2.420 6.099 0.000
Ca 4.938 1.259 0.000
Ca 6.099 4.938 0.000
Ag 0.000 0.000 2.038
Ag 3.679 3.679 2.038
Pt 0.960 4.639 2.038
Pt 2.719 0.960 2.038
Pt 4.639 6.398 2.038
Pt 6.398 2.719 2.038
```

Properties
polymorph energy (0 for the lowest one) = 90.2 meV per atom
M_tot = 0.00 μB/f.u.
ΔH_f (0 K) = -0.685 eV per atom



A plane-wave DFT calculation with PBE was carried out for a geometry-optimized Rb2UH2Se4 structure.

```
9
Lattice="9.101 -1.927 0.000 9.101 1.927 0.000 -3.174 0.000 6.908" Properties=species:S:1:pos:R:3 pbc="T T T"
Rb 2.218 0.000 1.020
Rb 12.811 0.000 5.888
U -1.587 0.000 3.454
H 4.952 0.000 2.283
H 10.077 0.000 4.625
Se 1.016 0.000 4.645
Se 8.338 0.000 1.655
Se 6.691 0.000 5.253
Se 14.013 0.000 2.263
```

Properties
M_tot = 1.50 μB/f.u.



A plane-wave DFT calculation with PBE was carried out for a geometry-optimized Mn3P structure.

```
4
Lattice="2.620 0.000 0.000 0.000 3.586 0.000 0.000 0.000 4.846" Properties=species:S:1:pos:R:3 pbc="T T T"
Mn 0.000 0.000 0.000
Mn 1.310 1.793 1.226
Mn 1.310 1.793 3.620
P 0.000 0.000 2.423
```

Properties
M_tot = 2.12 μB/f.u.
ΔH_f (0 K) = -0.141 eV per atom



A plane-wave DFT calculation with PBE was carried out for a geometry-optimized Sm3Tl5Te12 structure.

```
80
Lattice="-9.095 9.095 9.095 9.095 -9.095 9.095 9.095 9.095 -9.095" Properties=species:S:1:pos:R:3 pbc="T T T"
Sm 4.548 2.274 0.000
Sm 9.095 4.548 -2.274
Sm 2.274 0.000 4.548
Sm 11.369 0.000 4.548
Sm 0.000 4.548 2.274
Sm 4.548 -2.274 9.095
Sm 4.548 11.369 0.000
Sm 9.095 4.548 6.821
Sm -2.274 9.095 4.548
Sm 6.821 9.095 4.548
Sm 0.000 4.548 11.369
Sm 4.548 6.821 9.095
Tl 0.000 0.000 0.000
Tl 4.548 4.548 -4.548
Tl 4.548 -4.548 4.548
Tl 9.095 0.000 0.000
Tl 13.643 2.274 0.000
Tl 9.095 -4.548 6.821
Tl 6.821 9.095 -4.548
Tl 6.821 0.000 4.548
Tl 4.548 6.821 0.000
Tl 9.095 4.548 2.274
Tl -4.548 4.548 4.548
Tl 0.000 9.095 0.000
Tl 0.000 0.000 9.095
Tl 4.548 4.548 4.548
Tl 0.000 4.548 6.821
Tl 4.548 2.274 9.095
Tl 2.274 9.095 4.548
Tl 2.274 0.000 13.643
Tl 0.000 13.643 2.274
Tl -4.548 6.821 9.095
Te 2.864 -0.265 1.331
Te 10.779 5.878 -4.812
Te 8.831 -1.331 2.864
Te 13.907 -1.683 3.217
Te 11.959 0.265 1.331
Te 10.779 -3.217 4.812
Te 1.331 2.864 -0.265
Te 12.312 4.283 -1.683
Te 5.878 4.812 -1.683
Te 7.764 2.864 0.265
Te -0.265 1.331 2.864
Te 4.812 -1.683 5.878
Te 8.831 7.764 -2.864
Te 4.812 1.683 3.217
Te 7.764 -2.864 8.831
Te 5.878 -4.812 10.779
Te 3.217 4.812 1.683
Te 10.426 6.231 0.265
Te 2.864 8.831 -1.331
Te 10.779 3.217 4.283
Te 4.812 10.779 -3.217
Te 8.831 1.331 6.231
Te 1.683 3.217 4.812
Te 2.864 0.265 7.764
Te 6.231 8.831 1.331
Te 7.412 5.878 4.283
Te 0.265 7.764 2.864
Te 4.283 -1.683 12.312
Te -1.683 5.878 4.812
Te 6.231 0.265 10.426
Te -1.331 2.864 8.831
Te 5.878 4.283 7.412
Te 3.217 13.907 -1.683
Te 1.331 11.959 0.265
Te 4.283 7.412 5.878
Te 0.265 1.331 11.959
Te 4.283 10.779 3.217
Te 9.360 7.764 6.231
Te 1.331 6.231 8.831
Te 3.217 4.283 10.779
Te -3.217 4.812 10.779
Te 7.764 6.231 9.360
Te -1.683 12.312 4.283
Te -2.864 8.831 7.764
Te -4.812 10.779 5.878
Te 0.265 10.426 6.231
Te -1.683 3.217 13.907
Te 6.231 9.360 7.764
```

Properties
M_tot = 0.00 μB/f.u.



Going through the records in order, we get VASP energy values of -91.71; -104.47; -24.24; -16.48; -44.72; -40.55; -33.48; -294.84 eV per cell.
Going through the records in order, we get theoretical density values of 6.0; 7.8; 9.1; 7.5; 8.7; 5.0; 7.1; 6.6 g/cm3.
Going through the records in order, we get N(E_F) values of 0.0; 8.6; 5.2; 4.7; 3.2; 2.7; 3.2; 7.4 states/eV/f.u..